A plane-wave DFT calculation with GGA+U was carried out for a relaxed ScVBi2O6 crystal.

Structure (POSCAR):
```
ScVBi2O6
1.0
5.6651 0.0083 0.0047
-2.8277 4.9807 -0.0435
-2.8280 -1.7061 4.7930
O V Sc Bi
6 1 1 2
Direct
0.8762 0.7141 0.1930 O
0.0423 0.3209 0.1887 O
0.0424 0.2134 0.6922 O
0.8754 0.6678 0.6946 O
0.4791 0.1566 0.1824 O
0.5007 0.8286 0.7025 O
0.9988 0.0002 0.9796 V
0.0092 0.5038 0.4960 Sc
0.5702 0.2868 0.8405 Bi
0.5714 0.7853 0.3331 Bi
```

Summary:
**Volume**: 135 Å³ per cell
**Uncorrected energy**: -7.128 eV per atom